# 1
Compound: ZrTcRu2
Source: Alexandria
Functional: meta-GGA SCAN
Structure: single point on PBEsol structure

extended XYZ file:
```
4
Lattice="2.9313 0.0000 0.1262 0.0000 4.4529 0.0000 -0.2081 0.0000 4.6316" Properties=species:S:1:pos:R:3 pbc="T T T"
Zr 0.9187 2.2265 3.9601
Ru 2.4942 2.2265 1.6284
Ru 2.3717 0.0000 4.3066
Tc 1.0233 0.0000 1.9993
```

Values from the calculation:
* formation energy: -0.4 eV per formula unit
* mass density: 10.7 Mg/m³
* electronic total energy: -135.84 eV per formula unit
* excess energy over the best structure of this formula in the dataset: 0.0 meV per atom
* magnetic moment: 0.00 μB per formula unit

---

# 2
Compound: NiP2H24C4O14
Source: Alexandria
Functional: meta-GGA SCAN
Structure: single point on PBEsol structure

extended XYZ file:
```
90
Lattice="-3.1679 5.3814 -3.3320 2.9686 -3.5017 -8.4779 -10.8897 -4.4345 3.1915" Properties=species:S:1:pos:R:3 pbc="T T T"
H -5.6013 -3.2807 -4.5405
H -8.9641 0.0776 -4.5679
H -4.5284 1.5952 -6.4979
H -6.6514 -1.1627 -5.6392
H -5.4878 0.7259 -4.0779
H -6.8668 1.1500 -3.3124
H -8.1774 -0.0175 -2.3497
H -2.1249 -2.6323 -4.0505
H -6.6626 -3.0616 -7.9473
H -0.4989 -0.8467 -3.2473
H -7.7870 -6.7279 -5.3488
H -3.2475 2.3886 -3.0206
H 0.3934 -1.5920 -8.1088
H -6.7472 -5.6281 -4.3472
H -8.6377 1.4409 -1.9282
H -1.9783 -0.1711 -7.5854
H -9.1107 -2.3837 -1.0330
H -11.0988 -3.6283 0.5742
H -1.6721 -0.1112 -2.0893
H 0.0098 1.0735 -9.1926
H -4.4265 0.5068 -0.6712
H -7.8416 -4.9434 -5.5978
H -6.7448 -2.1087 0.0568
H -10.0604 -3.6367 -1.9398
H -2.9117 -2.5373 -6.2687
H -1.6259 3.0816 -5.1129
H -4.3419 3.0733 -4.2713
H -0.2971 -1.6764 -6.4432
H -10.5901 -1.7081 -5.3711
H -5.9626 -4.3952 -7.2917
H -3.3020 4.1732 -3.2696
H -5.1264 1.8405 -1.3268
H -2.4513 -3.9957 -6.6902
H -10.7919 -0.8784 -2.1752
H -11.4825 -0.9627 -0.5096
H -5.8843 -1.6519 -1.2541
H -7.1905 -0.9234 -7.1118
H -4.2222 -3.7047 -5.3060
H -9.4631 -5.6364 -3.5055
H -8.7736 -4.1306 -0.7780
H -1.0287 1.0819 -6.6786
H -9.4169 -2.4435 -6.5291
H -2.3154 1.5759 -7.8404
H -4.3443 -0.4461 -8.6752
H -3.8986 -1.6314 -1.5067
H -5.2048 -0.9029 -7.3644
H -4.4376 -1.3920 -2.9793
H -6.5606 -4.1500 -2.1205
C -0.9839 0.0915 -2.9287
C 0.6070 -1.8405 -7.0555
C -11.6961 -0.7142 -1.5630
C -9.0766 -3.3741 -1.5153
C -3.8915 3.2407 -3.2793
C -10.1052 -2.6463 -5.6897
C -2.0125 0.8194 -7.1031
C -7.1976 -5.7955 -5.3391
O -2.2166 -1.4775 -5.2326
O -4.1467 0.6557 -9.8910
O -7.8194 0.8456 -1.9602
O -8.0722 -3.3742 -2.5521
O -6.9819 -2.3729 -4.5690
O -4.1072 -0.1819 -4.0494
O -2.1670 -3.2165 -3.2348
O -9.4035 -3.2474 -4.5880
O -12.1490 0.6458 -1.6756
O -8.9220 0.6618 -5.3836
O -3.1973 -0.5820 -0.4641
O -5.8960 -3.7081 -8.0010
O -1.6855 0.6927 -4.0304
O -4.9303 3.2993 -2.2787
O -6.3081 1.3003 -4.1333
O -6.5527 -0.5357 -6.4280
O -4.4217 -1.1337 -7.9492
O -6.1588 -5.8540 -6.3397
O -4.5364 -2.0190 -2.1905
O -5.1931 1.1533 -0.6174
O -6.6674 -1.4210 -0.6692
O -3.0169 0.8195 -6.0663
O -3.2696 -3.4003 -6.6582
O -4.7809 -3.8550 -4.4852
O -8.8725 -1.0773 -3.3858
O 1.0599 -3.2006 -6.9429
O -6.9424 -3.2104 1.2726
O -7.8918 -1.9727 -8.1544
Ni -7.0288 0.4735 -0.0703
Ni -3.9606 -3.9681 -2.6432
P 0.1417 -4.3875 -7.5060
P -11.2307 1.8327 -1.1124
P -8.2827 -2.4047 -3.8118
P -2.8064 -0.1501 -4.8067
```

Values from the calculation:
* mass density: 1.8 Mg/m³
* electronic total energy: -292.58 eV per formula unit
* magnetic moment: 2.04 μB per formula unit